An optimized crystal structure of BeRe2Te, computed with GGA-PBE.

Its total energy is -7.210 eV/atom. For the excess energy over the best structure of this formula in the dataset, the calculation gives 397 meV per atom. Its uncorrected formation energy is 0.732 eV/atom. As for the space-group type: P4/mmm. For the density of states at the Fermi level, the calculation gives 3.27 states/eV/cell.

Geometry as POSCAR:
```
BeRe2Te
1.0
-0.1998 3.1913 -0.0394
-0.3549 0.0310 4.3119
4.3035 0.2737 0.3522
Re Te Be
2 1 1
Cartesian
0.0000 0.0000 0.0000
1.9743 0.1524 2.3321
-0.2773 1.6112 2.1363
2.0519 1.7325 0.1564
```

***

An optimized crystal structure of BeRe2Te, computed with GGA-PBE.

Its total energy is -7.303 eV/atom. For the excess energy over the best structure of this formula in the dataset, the calculation gives 303 meV per atom. Its uncorrected formation energy is 0.638 eV/atom. As for the space-group type: Fm-3m. For the density of states at the Fermi level, the calculation gives 3.53 states/eV/cell.

Geometry as POSCAR:
```
BeRe2Te
1.0
0.5125 -1.1463 4.1903
-3.4702 -0.1861 2.6568
-1.4743 -3.8716 1.4045
Be Re Te
1 2 1
Cartesian
0.0000 0.0000 0.0000
-3.3240 -3.9030 6.1887
-1.1080 -1.3010 2.0629
-2.2160 -2.6020 4.1258
```

***

An optimized crystal structure of BeReTe2, computed with GGA-PBE.

Its total energy is -5.403 eV/atom. Its uncorrected formation energy is 0.211 eV/atom. As for the space-group type: Immm. For the density of states at the Fermi level, the calculation gives 2.34 states/eV/cell.

Geometry as POSCAR:
```
BeReTe2
1.0
-0.4682 7.8782 3.1121
-4.4754 7.1725 0.7045
1.3756 -8.3713 0.0076
Te Be Re
2 1 1
Cartesian
-3.0426 9.2632 2.3490
-4.3728 13.3129 3.3759
-0.7822 3.5161 2.5140
-2.7858 3.1633 1.3102
```